DFT (PBE-GGA) results for a relaxed structure of NaScI2F.

Geometry as POSCAR:
```
NaScI2F
1.0
5.995 0.000 0.000
0.000 5.995 0.000
0.000 0.000 4.135
Na Sc I F
1 1 2 1
direct
0.000 0.000 0.000
0.500 0.500 0.500
0.000 0.500 0.500
0.500 0.000 0.500
0.500 0.500 0.000
```

Results
The value obtained for the density of states at the Fermi level is 1.77 states/eV per cell. The size of the total moment is 0.92 Bohr magnetons per cell. The formation energy without anion corrections is -1.702 eV per atom. Its space-group type is P4/mmm (123).

---

DFT (PBE-GGA) results for a relaxed structure of SrBe2Zn.

Geometry as POSCAR:
```
SrBe2Zn
1.0
6.904 0.000 0.000
0.000 3.987 0.000
-2.349 0.000 5.523
Sr Be Zn
2 4 2
direct
0.000 0.000 0.000
0.500 0.500 0.000
0.005 0.500 0.515
0.184 0.000 0.551
0.505 0.000 0.515
0.684 0.500 0.551
0.315 0.500 0.446
0.815 0.000 0.446
```

Results
The value obtained for the density of states at the Fermi level is 4.13 states/eV per cell. The value obtained for the formation energy is 0.0520 eV/atom. The size of the total moment is 0.00 Bohr magnetons per cell. Its space-group type is Cm (8).

---

DFT (PBE-GGA) results for a relaxed structure of Re2HgSb.

Geometry as POSCAR:
```
Re2HgSb
1.0
3.258 0.000 0.000
0.000 3.258 0.000
0.000 0.000 6.689
Re Hg Sb
2 1 1
direct
0.000 0.000 0.225
0.000 0.000 0.775
0.500 0.500 0.500
0.500 0.500 0.000
```

Results
The value obtained for the density of states at the Fermi level is 4.04 states/eV per cell. The size of the total moment is 0.00 Bohr magnetons per cell. The excess energy over the best structure of this formula in the dataset comes out at 587 meV per atom. The formation energy without anion corrections is 0.935 eV per atom. Its space-group type is P4/mmm (123).

---

DFT (PBE-GGA) results for a relaxed structure of MnTe2Pt2.

Geometry as POSCAR:
```
MnTe2Pt2
1.0
7.137 0.000 0.000
0.000 7.137 0.000
0.000 0.000 3.820
Mn Te Pt
2 4 4
direct
0.000 0.000 0.000
0.500 0.500 0.000
0.174 0.326 0.000
0.326 0.826 0.000
0.674 0.174 0.000
0.826 0.674 0.000
0.138 0.638 0.500
0.362 0.138 0.500
0.638 0.862 0.500
0.862 0.362 0.500
```

Results
The value obtained for the density of states at the Fermi level is 14.99 states/eV per cell. The size of the total moment is 0.01 Bohr magnetons per cell. The formation energy without anion corrections is 0.422 eV per atom. Its space-group type is P4/mbm (127).

---

DFT (PBE-GGA) results for a relaxed structure of SrTlCoSn2.

Geometry as POSCAR:
```
SrTlCoSn2
1.0
5.053 0.000 0.000
0.000 5.053 0.000
0.000 0.000 5.151
Sr Tl Co Sn
1 1 1 2
direct
0.000 0.000 0.000
0.500 0.500 0.000
0.500 0.500 0.500
0.000 0.500 0.500
0.500 0.000 0.500
```

Results
The value obtained for the density of states at the Fermi level is 5.09 states/eV per cell. The value obtained for the formation energy is -0.1123 eV/atom. The size of the total moment is 0.37 Bohr magnetons per cell. Its space-group type is P4/mmm (123).

---

DFT (PBE-GGA) results for a relaxed structure of BTe4.

Geometry as POSCAR:
```
BTe4
1.0
4.946 0.000 0.000
0.000 4.946 0.000
0.000 0.000 4.946
B Te
1 4
direct
0.000 0.000 0.000
0.000 0.000 0.500
0.000 0.500 0.000
0.500 0.000 0.000
0.500 0.500 0.500
```

Results
The value obtained for the density of states at the Fermi level is 2.90 states/eV per cell. The size of the total moment is 0.00 Bohr magnetons per cell. The formation energy without anion corrections is 0.665 eV per atom. Its space-group type is Pm-3m (221).

---

Number 6 is which compound?
BTe4

---

Number 2 is which compound?
SrBe2Zn